[1]
## Al2CrCu (GGA-PBEsol)

Data for a relaxed Al2CrCu crystal.

abc: 2.6813 2.6813 25.1219
angles: 90.00 90.00 120.00
Closest atoms and distances in Å follow each position.
Space group R-3m (No. 166, hexagonal axes)
Symmetry-distinct sites (fractional):
Al1 0.0000 0.0000 0.2503 x6  3 Cr 2.60, 3 Cu 2.61, 6 Al 2.68
Cr1 0.0000 0.0000 0.0000 x3  6 Al 2.60, 6 Cr 2.68
Cu1 0.0000 0.0000 0.5000 x3  6 Al 2.61, 6 Cu 2.68

Results
Volume in Å³/atom: 13.03
E_form in eV/atom: 0.0149

[2]
## Al2CrCu (GGA-PBEsol)

Data for a relaxed Al2CrCu crystal.

abc: 4.2549 4.2549 2.8154
angles: 90.00 90.00 90.00
Closest atoms and distances in Å follow each position.
Space group P4/mmm (No. 123)
Symmetry-distinct sites (fractional):
Al1 0.0000 0.5000 0.0000 x2  4 Cr 2.55, 4 Cu 2.55, 2 Al 2.82
Cr1 0.0000 0.0000 0.5000 x1  8 Al 2.55, 2 Cr 2.82
Cu1 0.5000 0.5000 0.5000 x1  8 Al 2.55, 2 Cu 2.82

Results
Volume in Å³/atom: 12.74
E_form in eV/atom: -0.0874

[3]
## Al2CrCu (GGA-PBEsol)

Data for a relaxed Al2CrCu crystal.

abc: 5.5597 6.8231 2.7051
angles: 90.00 90.00 90.00
Closest atoms and distances in Å follow each position.
Space group Cmmm (No. 65)
Symmetry-distinct sites (fractional):
Al1 0.2500 0.2500 0.0000 x4  4 Cr 2.58, 4 Cu 2.58, 4 Al 2.71-2.78
Cr1 0.0000 0.0000 0.5000 x2  8 Al 2.58, 2 Cr 2.71, 2 Cu 2.78
Cu1 0.0000 0.5000 0.5000 x2  8 Al 2.58, 2 Cu 2.71, 2 Cr 2.78

Results
Volume in Å³/atom: 12.83
E_form in eV/atom: -0.1040

[4]
## AlCrCu2 (GGA-PBEsol)

Data for a relaxed AlCrCu2 crystal.

abc: 4.1122 4.1122 5.8577
angles: 90.00 90.00 90.00
Closest atoms and distances in Å follow each position.
Space group I-4m2 (No. 119)
Symmetry-distinct sites (fractional):
Al1 0.0000 0.0000 0.0000 x2  4 Cr 2.52, 4 Cu 2.52
Cr1 0.0000 0.5000 0.2500 x2  4 Al 2.52, 4 Cu 2.52
Cu1 0.0000 0.0000 0.5000 x2  4 Cr 2.52, 4 Cu 2.52
Cu2 0.0000 0.5000 0.7500 x2  4 Al 2.52, 4 Cu 2.52

Results
Volume in Å³/atom: 12.38
E_form in eV/atom: 0.0673